! Cs2ZnFeO4 PBE+U optimized geometry; values from VASP
&SYSTEM
  ibrav = 0, nat = 16, ntyp = 4
/
ATOMIC_SPECIES
Cs 132.91 Cs.upf
Zn 65.41 Zn.upf
Fe 55.84 Fe.upf
O 16.00 O.upf
CELL_PARAMETERS angstrom
5.2739 0.0000 0.0000
2.6370 6.3646 0.0000
2.6370 0.0000 10.7055
ATOMIC_POSITIONS crystal
Cs 0.1762 0.0000 0.6475
Cs 0.8238 0.0000 0.3525
Cs 0.5738 0.5000 0.8525
Cs 0.9262 0.5000 0.1475
Zn 0.7500 0.5000 0.5000
Zn 0.0000 0.0000 0.0000
Fe 0.2500 0.5000 0.5000
Fe 0.5000 0.0000 0.0000
O 0.3205 0.8240 0.0765
O 0.2209 0.1760 0.9235
O 0.8556 0.8240 0.9235
O 0.6030 0.1760 0.0765
O 0.4295 0.6760 0.4235
O 0.5291 0.3240 0.5765
O 0.8944 0.6760 0.5765
O 0.1470 0.3240 0.4235
! crystal system = orthorhombic
! calculated total energy = -4.84 eV/atom
! total magnetic moment = 4.0 μB per formula unit